[1]
First-principles (PBE-GGA) data for a relaxed GePt2Rh2 crystal, as listed in the Alexandria database.

Unit cell a=6.3028 b=6.3028 c=4.0419 alpha=90.00 beta=90.00 gamma=90.00
Last column: nearest neighbours and their distance in Å.
Element x y z (fractional)
1 Ge 0.0000 0.0000 0.0000  4 Rh 2.42
2 Ge 0.5000 0.5000 0.0000  4 Rh 2.42
3 Pt 0.1559 0.3441 0.5000  6 Rh 2.69-2.77, 1 Pt 2.78
4 Pt 0.3441 0.8441 0.5000  6 Rh 2.69-2.77, 1 Pt 2.78
5 Pt 0.6559 0.1559 0.5000  6 Rh 2.69-2.77, 1 Pt 2.78
6 Pt 0.8441 0.6559 0.5000  6 Rh 2.69-2.77, 1 Pt 2.78
7 Rh 0.1455 0.6455 0.0000  2 Ge 2.42, 1 Rh 2.59, 2 Pt 2.69
8 Rh 0.3545 0.1455 0.0000  2 Ge 2.42, 1 Rh 2.59, 2 Pt 2.69
9 Rh 0.6455 0.8545 0.0000  2 Ge 2.42, 1 Rh 2.59, 2 Pt 2.69
10 Rh 0.8545 0.3545 0.0000  2 Ge 2.42, 1 Rh 2.59, 2 Pt 2.69

The space-group type is No. 127. The calculation puts the formation enthalpy at 0 K at -0.01 eV per atom. The calculation puts the total magnetization at 0.0001 μB per atom.

---

[2]
First-principles (PBE-GGA) data for a relaxed Sm3Er5Se8 crystal, as listed in the Alexandria database.

Unit cell a=8.2269 b=8.2269 c=8.2269 alpha=59.25 beta=59.25 gamma=59.25
Last column: nearest neighbours and their distance in Å.
Element x y z (fractional)
1 Sm 0.0000 0.5000 0.5000  6 Se 2.94-2.95
2 Sm 0.5000 0.0000 0.5000  6 Se 2.94-2.95
3 Sm 0.5000 0.5000 0.0000  6 Se 2.94-2.95
4 Er 0.0000 0.0000 0.0000  6 Se 2.90
5 Er 0.0000 0.0000 0.5000  6 Se 2.84
6 Er 0.0000 0.5000 0.0000  6 Se 2.84
7 Er 0.5000 0.0000 0.0000  6 Se 2.84
8 Er 0.5000 0.5000 0.5000  6 Se 2.89
9 Se 0.2413 0.7498 0.7498  4 Er 2.84-2.90, 2 Sm 2.94
10 Se 0.2455 0.2455 0.2455  3 Er 2.84, 3 Sm 2.95
11 Se 0.2502 0.2502 0.7587  4 Er 2.84-2.90, 2 Sm 2.94
12 Se 0.2502 0.7587 0.2502  4 Er 2.84-2.90, 2 Sm 2.94
13 Se 0.7498 0.2413 0.7498  4 Er 2.84-2.90, 2 Sm 2.94
14 Se 0.7498 0.7498 0.2413  4 Er 2.84-2.90, 2 Sm 2.94
15 Se 0.7545 0.7545 0.7545  3 Er 2.84, 3 Sm 2.95
16 Se 0.7587 0.2502 0.2502  4 Er 2.84-2.90, 2 Sm 2.94

The calculation puts the uncorrected formation energy at -1.74 eV/atom. The space-group type is No. 166. The calculation puts the total magnetization at 0.0000 μB per atom.

---

[3]
First-principles (PBE-GGA) data for a relaxed Rh3SeCl crystal, as listed in the Alexandria database.

Unit cell a=4.6408 b=4.6408 c=4.6408 alpha=90.00 beta=90.00 gamma=90.00
Last column: nearest neighbours and their distance in Å.
Element x y z (fractional)
1 Rh 0.0000 0.0000 0.5000  2 Se 2.32
2 Rh 0.0000 0.5000 0.0000  2 Se 2.32
3 Rh 0.5000 0.0000 0.0000  2 Se 2.32
4 Se 0.0000 0.0000 0.0000  6 Rh 2.32
5 Cl 0.5000 0.5000 0.5000  12 Rh 3.28

The calculation puts the uncorrected formation energy at 0.70 eV/atom. The calculation puts the relative energy among the computed polymorphs at 0.000 eV/atom. The space-group type is No. 221. The calculation puts the total magnetization at 0.1014 μB per atom.

---

[4]
First-principles (PBE-GGA) data for a relaxed NdDyIn6 crystal, as listed in the Alexandria database.

Unit cell a=5.3177 b=6.6848 c=6.6848 alpha=59.99 beta=90.00 gamma=90.00
Last column: nearest neighbours and their distance in Å.
Element x y z (fractional)
1 Nd 0.0000 0.0000 0.0000  12 In 3.33-3.35
2 Dy 0.5000 0.3332 0.3332  12 In 3.31-3.35
3 In 0.0000 0.5031 0.5031  8 In 3.25-3.43, 2 Dy 3.31, 2 Nd 3.34
4 In 0.0000 0.5045 0.9898  8 In 3.24-3.44, 2 Dy 3.32, 2 Nd 3.34-3.35
5 In 0.0000 0.9898 0.5045  8 In 3.24-3.44, 2 Dy 3.32, 2 Nd 3.34-3.35
6 In 0.5000 0.3510 0.8249  8 In 3.17-3.52, 2 Dy 3.34-3.35, 2 Nd 3.35
7 In 0.5000 0.8249 0.3510  8 In 3.17-3.52, 2 Dy 3.34-3.35, 2 Nd 3.35
8 In 0.5000 0.8264 0.8264  8 In 3.18-3.50, 2 Nd 3.33, 2 Dy 3.34

The calculation puts the relative energy among the computed polymorphs at 0.057 eV/atom. The space-group type is No. 38. The calculation puts the formation enthalpy at 0 K at -0.39 eV per atom. The calculation puts the total magnetization at 0.0000 μB per atom.

---

[5]
First-principles (PBE-GGA) data for a relaxed Rb3Dy3TcO8 crystal, as listed in the Alexandria database.

Unit cell a=7.6806 b=7.6806 c=7.6806 alpha=52.67 beta=52.67 gamma=52.67
Last column: nearest neighbours and their distance in Å.
Element x y z (fractional)
1 Rb 0.0000 0.5000 0.5000  6 O 2.91-2.92
2 Rb 0.5000 0.0000 0.5000  6 O 2.91-2.92
3 Rb 0.5000 0.5000 0.0000  6 O 2.91-2.92
4 Dy 0.0000 0.0000 0.5000  6 O 2.27-2.32
5 Dy 0.0000 0.5000 0.0000  6 O 2.27-2.32
6 Dy 0.5000 0.0000 0.0000  6 O 2.27-2.32
7 Tc 0.5000 0.5000 0.5000  6 O 2.11
8 O 0.2239 0.2239 0.2239  3 Dy 2.27
9 O 0.2476 0.7083 0.7083  1 Tc 2.11, 2 Dy 2.32
10 O 0.2917 0.2917 0.7524  1 Tc 2.11, 2 Dy 2.32
11 O 0.2917 0.7524 0.2917  1 Tc 2.11, 2 Dy 2.32
12 O 0.7083 0.2476 0.7083  1 Tc 2.11, 2 Dy 2.32
13 O 0.7083 0.7083 0.2476  1 Tc 2.11, 2 Dy 2.32
14 O 0.7524 0.2917 0.2917  1 Tc 2.11, 2 Dy 2.32
15 O 0.7761 0.7761 0.7761  3 Dy 2.27

The calculation puts the uncorrected formation energy at -2.44 eV/atom. The space-group type is No. 166. The calculation puts the total magnetization at 0.2000 μB per atom.

---

[6]
First-principles (PBE-GGA) data for a relaxed HfZnGaNi crystal, as listed in the Alexandria database.

Unit cell a=3.0524 b=3.0524 c=8.3417 alpha=100.72 beta=100.72 gamma=59.60
Last column: nearest neighbours and their distance in Å.
Element x y z (fractional)
1 Hf 0.0000 0.0000 0.0000  3 Zn 2.91-2.92, 3 Ga 2.93, 6 Hf 3.03-3.05
2 Zn 0.5734 0.5734 0.7146  3 Ni 2.49
3 Ga 0.4285 0.4285 0.2872  3 Ni 2.45-2.46
4 Ni 0.1683 0.1683 0.4977  3 Ga 2.45-2.46, 3 Zn 2.49

The calculation puts the relative energy among the computed polymorphs at 0.207 eV/atom. The space-group type is No. 8. The calculation puts the formation enthalpy at 0 K at -0.11 eV per atom. The calculation puts the total magnetization at 0.0000 μB per atom.

---

[7]
First-principles (PBE-GGA) data for a relaxed Ho8Ni2Pd crystal, as listed in the Alexandria database.

Unit cell a=8.9821 b=8.9821 c=6.5893 alpha=104.97 beta=104.97 gamma=32.25
Last column: nearest neighbours and their distance in Å.
Element x y z (fractional)
1 Ho 0.0366 0.0366 0.2851  1 Ni 2.67
2 Ho 0.2018 0.2018 0.8365  1 Ni 2.69
3 Ho 0.3266 0.3266 0.5144  1 Ni 2.65
4 Ho 0.4078 0.4078 0.0396  1 Pd 3.02, 2 Ni 3.23, 4 Ho 3.36-3.37
5 Ho 0.5922 0.5922 0.9604  1 Pd 3.02, 2 Ni 3.23, 4 Ho 3.36-3.37
6 Ho 0.6734 0.6734 0.4856  1 Ni 2.65
7 Ho 0.7982 0.7982 0.1635  1 Ni 2.69
8 Ho 0.9634 0.9634 0.7149  1 Ni 2.67
9 Ni 0.1846 0.1846 0.2307  3 Ho 2.65-2.69
10 Ni 0.8154 0.8154 0.7693  3 Ho 2.65-2.69
11 Pd 0.5000 0.5000 0.5000  8 Ho 3.02

The calculation puts the relative energy among the computed polymorphs at 0.000 eV/atom. The space-group type is No. 12. The calculation puts the formation enthalpy at 0 K at -0.31 eV per atom. The calculation puts the total magnetization at 0.0000 μB per atom.

---

[8]
First-principles (PBE-GGA) data for a relaxed Cd2CuTe crystal, as listed in the Alexandria database.

Unit cell a=3.1740 b=3.1740 c=9.0496 alpha=90.00 beta=90.00 gamma=90.00
Last column: nearest neighbours and their distance in Å.
Element x y z (fractional)
1 Cd 0.0000 0.0000 0.0000  8 Cd 3.17-3.27
2 Cd 0.5000 0.5000 0.2621  4 Cu 2.84, 4 Cd 3.17
3 Cu 0.0000 0.0000 0.4539  4 Cd 2.84, 4 Te 2.93, 4 Cu 3.17
4 Te 0.5000 0.5000 0.6623  4 Cu 2.93, 4 Te 3.17

The calculation puts the uncorrected formation energy at 0.18 eV/atom. The space-group type is No. 99. The calculation puts the total magnetization at 0.0000 μB per atom.